Density functional theory data (PBE) for Er8PSe3S4 after structural relaxation.

Computed properties:
**Magnetization**: 0.00 μB/f.u.
**Formation energy without anion corrections**: -1.846 eV/atom
**Electronic total energy**: -0.226 hartree per atom

abc: 7.8979 7.8979 7.8979
angles: 59.92 59.92 59.92
Last column: nearest neighbours and their distance in Å.
Fractional positions:
Er1 0.2289 0.7543 0.7543  3 S 2.70-2.84, 1 P 2.75, 2 Se 2.89
Er2 0.2408 0.2408 0.2408  3 S 2.69, 3 Se 2.90
Er3 0.2457 0.2457 0.7711  3 S 2.70-2.84, 1 P 2.75, 2 Se 2.89
Er4 0.2457 0.7711 0.2457  3 S 2.70-2.84, 1 P 2.75, 2 Se 2.89
Er5 0.7543 0.2289 0.7543  3 S 2.70-2.84, 1 P 2.75, 2 Se 2.89
Er6 0.7543 0.7543 0.2289  3 S 2.70-2.84, 1 P 2.75, 2 Se 2.89
Er7 0.7592 0.7592 0.7592  3 S 2.69, 3 Se 2.90
Er8 0.7711 0.2457 0.2457  3 S 2.70-2.84, 1 P 2.75, 2 Se 2.89
P1 0.0000 0.0000 0.0000  6 Er 2.75
Se1 0.0000 0.5000 0.5000  6 Er 2.89-2.90
Se2 0.5000 0.0000 0.5000  6 Er 2.89-2.90
Se3 0.5000 0.5000 0.0000  6 Er 2.89-2.90
S1 0.0000 0.0000 0.5000  6 Er 2.69-2.70
S2 0.0000 0.5000 0.0000  6 Er 2.69-2.70
S3 0.5000 0.0000 0.0000  6 Er 2.69-2.70
S4 0.5000 0.5000 0.5000  6 Er 2.84